CaNb2Ga2: relaxed, PBE.

Cell lengths 7.504, 7.504, 3.412 Å; angles 90.00, 90.00, 90.00 degrees
Fractional coordinates of all 10 atoms:
Nb 0.170 0.670 0.500
Nb 0.670 0.830 0.500
Nb 0.830 0.330 0.500
Nb 0.330 0.170 0.500
Ca 0.000 0.000 0.000
Ca 0.500 0.500 0.000
Ga 0.376 0.876 0.000
Ga 0.876 0.624 0.000
Ga 0.624 0.124 0.000
Ga 0.124 0.376 0.000

**Formation energy from the elements**: -30 meV per atom
**Relative energy among the computed polymorphs**: 59.9 kJ/mol of formula units
**Fermi-level density of states**: 10.1 states/eV/cell
**Crystal system**: tetragonal

CaNbGa2: relaxed, PBE.

Cell lengths 4.655, 4.655, 9.891 Å; angles 76.39, 76.39, 90.00 degrees
Site moments in Bohr magnetons follow the coordinates.
Fractional coordinates of all 8 atoms:
Nb 0.000 0.000 0.000  0.76
Nb 0.750 0.250 0.500  0.76
Ca 0.500 0.500 0.000  0.05
Ca 0.250 0.750 0.500  0.05
Ga 0.743 0.125 0.250  -0.02
Ga 0.007 0.625 0.250  -0.02
Ga 0.375 0.257 0.750  -0.03
Ga 0.875 0.993 0.750  -0.03

**Formation energy from the elements**: 331 meV per atom
**Fermi-level density of states**: 1.1 states/eV/cell
**Crystal system**: tetragonal

CaNb2Ga2: relaxed, PBE.

Cell lengths 3.977, 3.977, 7.029 Å; angles 73.57, 73.57, 90.00 degrees
Fractional coordinates of all 5 atoms:
Nb 0.750 0.250 0.500
Nb 0.250 0.750 0.500
Ca 0.000 0.000 0.000
Ga 0.402 0.402 0.197
Ga 0.598 0.598 0.803

**Formation energy from the elements**: -154 meV per atom
**Relative energy among the computed polymorphs**: 0.0 kJ/mol of formula units
**Fermi-level density of states**: 5.4 states/eV/cell
**Crystal system**: tetragonal

Ca4NbGaO8: relaxed, PBE.

Cell lengths 5.672, 11.323, 12.724 Å; angles 107.42, 90.00, 90.00 degrees
Fractional coordinates of all 56 atoms:
Ca 0.747 0.469 0.408
Ca 0.247 0.031 0.092
Ca 0.253 0.531 0.592
Ca 0.753 0.969 0.908
Ca 0.274 0.684 0.073
Ca 0.774 0.816 0.427
Ca 0.726 0.316 0.927
Ca 0.226 0.184 0.573
Ca 0.774 0.133 0.388
Ca 0.274 0.367 0.112
Ca 0.226 0.867 0.612
Ca 0.726 0.633 0.888
Ca 0.726 0.355 0.643
Ca 0.226 0.145 0.857
Ca 0.274 0.645 0.357
Ca 0.774 0.855 0.143
Nb 0.251 0.790 0.868
Nb 0.751 0.710 0.632
Nb 0.749 0.210 0.132
Nb 0.249 0.290 0.368
Ga 0.211 0.440 0.829
Ga 0.711 0.060 0.671
Ga 0.789 0.560 0.171
Ga 0.289 0.940 0.329
O 0.677 0.645 0.077
O 0.177 0.855 0.423
O 0.323 0.355 0.923
O 0.823 0.145 0.577
O 0.330 0.456 0.375
O 0.830 0.044 0.125
O 0.670 0.544 0.625
O 0.170 0.956 0.875
O 0.319 0.607 0.877
O 0.819 0.893 0.623
O 0.681 0.393 0.123
O 0.181 0.107 0.377
O 0.677 0.626 0.313
O 0.177 0.874 0.187
O 0.323 0.374 0.687
O 0.823 0.126 0.813
O 0.122 0.562 0.174
O 0.622 0.938 0.326
O 0.878 0.438 0.826
O 0.378 0.062 0.674
O 0.580 0.785 0.778
O 0.080 0.715 0.722
O 0.420 0.215 0.222
O 0.920 0.285 0.278
O 0.489 0.711 0.535
O 0.989 0.789 0.965
O 0.511 0.289 0.465
O 0.011 0.211 0.035
O 0.476 0.849 0.994
O 0.976 0.651 0.506
O 0.524 0.151 0.006
O 0.024 0.349 0.494

**Uncorrected formation energy**: -2.750 eV/atom
**Fermi-level density of states**: 0.0 states/eV/cell
**Crystal system**: monoclinic

CaNbGaO5: relaxed, PBE.

Cell lengths 5.734, 5.734, 7.547 Å; angles 104.50, 104.50, 106.33 degrees
Fractional coordinates of all 16 atoms:
Ca 0.329 0.671 0.250
Ca 0.671 0.329 0.750
Nb 0.000 0.000 0.500
Nb 0.000 0.000 0.000
Ga 0.684 0.316 0.250
Ga 0.316 0.684 0.750
O 0.071 0.929 0.250
O 0.929 0.071 0.750
O 0.902 0.309 0.106
O 0.098 0.691 0.894
O 0.691 0.098 0.394
O 0.309 0.902 0.606
O 0.745 0.641 0.416
O 0.255 0.359 0.584
O 0.359 0.255 0.084
O 0.641 0.745 0.916

**Uncorrected formation energy**: -2.529 eV/atom
**Fermi-level density of states**: 0.0 states/eV/cell
**Crystal system**: monoclinic

Ca3NbGa3Si2O14: relaxed, PBE.

Cell lengths 8.206, 8.206, 5.031 Å; angles 90.00, 90.00, 120.00 degrees
Fractional coordinates of all 23 atoms:
Ca 0.423 0.423 0.000
Ca 0.000 0.577 0.000
Ca 0.577 0.000 0.000
Nb 0.000 0.000 0.000
Ga 0.743 0.743 0.500
Ga 0.000 0.257 0.500
Ga 0.257 0.000 0.500
Si 0.667 0.333 0.450
Si 0.333 0.667 0.550
O 0.667 0.333 0.770
O 0.333 0.667 0.230
O 0.858 0.085 0.763
O 0.226 0.142 0.763
O 0.774 0.915 0.237
O 0.915 0.774 0.763
O 0.085 0.858 0.237
O 0.142 0.226 0.237
O 0.522 0.676 0.691
O 0.155 0.478 0.691
O 0.845 0.324 0.309
O 0.324 0.845 0.691
O 0.676 0.522 0.309
O 0.478 0.155 0.309

**Uncorrected formation energy**: -2.605 eV/atom
**Fermi-level density of states**: 0.0 states/eV/cell
**Crystal system**: trigonal

Ca2NbGaRe: relaxed, PBE.

Cell lengths 5.285, 4.967, 5.285 Å; angles 90.00, 90.00, 90.00 degrees
Site moments in Bohr magnetons follow the coordinates.
Fractional coordinates of all 5 atoms:
Re 0.500 0.500 0.500  2.69
Nb 0.000 0.500 0.000  -1.18
Ca 0.000 0.000 0.500  -0.01
Ca 0.500 0.000 0.000  -0.02
Ga 0.000 0.000 0.000  0.03

**Formation energy from the elements**: 1357 meV per atom
**Fermi-level density of states**: 5.4 states/eV/cell
**Crystal system**: tetragonal

CaNb2GaRh: relaxed, PBE.

Cell lengths 4.670, 4.897, 4.670 Å; angles 90.00, 90.00, 90.00 degrees
Fractional coordinates of all 5 atoms:
Nb 0.000 0.000 0.500
Nb 0.500 0.000 0.000
Rh 0.500 0.500 0.500
Ca 0.000 0.000 0.000
Ga 0.000 0.500 0.000

**Formation energy from the elements**: 2059 meV per atom
**Fermi-level density of states**: 6.1 states/eV/cell
**Crystal system**: tetragonal

CaNbGa2S: relaxed, PBE.

Cell lengths 5.286, 4.905, 5.286 Å; angles 90.00, 90.00, 90.00 degrees
Fractional coordinates of all 5 atoms:
S 0.500 0.500 0.500
Nb 0.000 0.500 0.000
Ca 0.000 0.000 0.000
Ga 0.000 0.000 0.500
Ga 0.500 0.000 0.000

**Uncorrected formation energy**: 1.500 eV/atom
**Fermi-level density of states**: 4.4 states/eV/cell
**Crystal system**: tetragonal

CaTiNb2Ga: relaxed, PBE.

Cell lengths 4.871, 5.126, 4.871 Å; angles 90.00, 90.00, 90.00 degrees
Fractional coordinates of all 5 atoms:
Nb 0.000 0.000 0.500
Nb 0.500 0.000 0.000
Ca 0.000 0.500 0.000
Ga 0.000 0.000 0.000
Ti 0.500 0.500 0.500

**Formation energy from the elements**: 1054 meV per atom
**Fermi-level density of states**: 10.5 states/eV/cell
**Crystal system**: tetragonal

Ca2TiNbGa: relaxed, PBE.

Cell lengths 5.524, 4.911, 5.524 Å; angles 90.00, 90.00, 90.00 degrees
Site moments in Bohr magnetons follow the coordinates.
Fractional coordinates of all 5 atoms:
Nb 0.500 0.500 0.500  2.69
Ca 0.000 0.000 0.500  -0.09
Ca 0.500 0.000 0.000  -0.06
Ga 0.000 0.500 0.000  -0.09
Ti 0.000 0.000 0.000  -1.50

**Formation energy from the elements**: 1196 meV per atom
**Fermi-level density of states**: 6.4 states/eV/cell
**Crystal system**: tetragonal

CaZrNbGa2: relaxed, PBE.

Cell lengths 5.061, 5.148, 5.061 Å; angles 90.00, 90.00, 90.00 degrees
Fractional coordinates of all 5 atoms:
Nb 0.500 0.500 0.500
Ca 0.000 0.500 0.000
Ga 0.000 0.000 0.500
Ga 0.500 0.000 0.000
Zr 0.000 0.000 0.000

**Formation energy from the elements**: 1301 meV per atom
**Fermi-level density of states**: 7.8 states/eV/cell
**Crystal system**: tetragonal